(1)
K3TmU2Te6 | PBE-GGA | optimized geometry

Computed properties:
ΔE_f (raw)	-12.12	eV/f.u.

Lattice parameters (Å, degrees): 7.7744 7.7744 8.6798 98.59 98.59 120.00
Last column: nearest neighbours and their distance in Å.
Element x y z (fractional)
Tm: 0.0000 0.0000 0.0000  6 Te 3.09
U: 0.6665 0.3335 0.0000  6 Te 3.14
U: 0.3335 0.6665 0.0000  6 Te 3.14
K: 0.1681 0.8319 0.5000  6 Te 3.52-3.55
K: 0.5000 0.5000 0.5000  6 Te 3.52-3.56
K: 0.8319 0.1681 0.5000  6 Te 3.52-3.55
Te: 0.3978 0.0700 0.2102  1 Tm 3.09, 2 U 3.14
Te: 0.2574 0.2574 0.7894  1 Tm 3.09, 2 U 3.14
Te: 0.0700 0.3978 0.2102  1 Tm 3.09, 2 U 3.14
Te: 0.9300 0.6022 0.7898  1 Tm 3.09, 2 U 3.14
Te: 0.6022 0.9300 0.7898  1 Tm 3.09, 2 U 3.14
Te: 0.7426 0.7426 0.2106  1 Tm 3.09, 2 U 3.14

---

(2)
CrRe2P4 | PBE-GGA | optimized geometry

Computed properties:
total energy	-58.4	eV/f.u.

Lattice parameters (Å, degrees): 6.3449 6.3449 6.8177 103.45 103.45 120.16
Last column: nearest neighbours and their distance in Å.
Element x y z (fractional)
Re: 0.2607 0.5062 0.0362  6 P 2.31-2.47
Re: 0.5062 0.2607 0.5362  6 P 2.31-2.47
Re: 0.0183 0.7791 0.5309  6 P 2.37-2.51
Re: 0.7791 0.0183 0.0309  6 P 2.37-2.51
P: 0.8156 0.3348 0.8547  1 Cr 2.22, 2 Re 2.31-2.32
P: 0.7382 0.6863 0.1719  3 Re 2.40-2.46, 1 Cr 2.41
P: 0.1630 0.2294 0.6600  2 Cr 2.34-2.38, 3 Re 2.37-2.47
P: 0.3348 0.8156 0.3547  1 Cr 2.22, 2 Re 2.31-2.32
P: 0.6863 0.7382 0.6719  3 Re 2.40-2.46, 1 Cr 2.41
P: 0.7594 0.2953 0.3159  2 Cr 2.36-2.61, 3 Re 2.37-2.45
P: 0.2294 0.1630 0.1600  2 Cr 2.34-2.38, 3 Re 2.37-2.47
P: 0.2953 0.7594 0.8159  2 Cr 2.36-2.61, 3 Re 2.37-2.45
Cr: 0.4606 0.2143 0.9319  5 P 2.22-2.41
Cr: 0.2143 0.4606 0.4319  5 P 2.22-2.41

---

(3)
V5ReRu4 | PBE-GGA | optimized geometry

Computed properties:
total energy	-97.8	eV/f.u.

Lattice parameters (Å, degrees): 3.0134 3.0134 15.1410 90.00 90.00 90.00
Last column: nearest neighbours and their distance in Å.
Element x y z (fractional)
V: 0.5000 0.5000 0.3004  8 Ru 2.60-2.62
V: 0.5000 0.5000 0.5000  8 Ru 2.60
V: 0.5000 0.5000 0.0982  4 Re 2.60, 4 Ru 2.65
V: 0.5000 0.5000 0.6996  8 Ru 2.60-2.62
V: 0.5000 0.5000 0.9018  4 Re 2.60, 4 Ru 2.65
Re: 0.0000 0.0000 0.0000  8 V 2.60
Ru: 0.0000 0.0000 0.5989  8 V 2.60-2.62
Ru: 0.0000 0.0000 0.2019  8 V 2.60-2.65
Ru: 0.0000 0.0000 0.4011  8 V 2.60-2.62
Ru: 0.0000 0.0000 0.7981  8 V 2.60-2.65

---

(4)
SbRh2Br | PBE-GGA | optimized geometry

Computed properties:
ΔE_f (raw)	2.16	eV/f.u.

Lattice parameters (Å, degrees): 4.7121 4.7121 4.7121 60.00 60.00 60.00
Last column: nearest neighbours and their distance in Å.
Element x y z (fractional)
Rh: 0.2500 0.2500 0.2500  4 Br 2.89, 4 Rh 2.89
Rh: 0.0000 0.0000 0.0000  4 Rh 2.89, 4 Sb 2.89
Sb: 0.7500 0.7500 0.7500  4 Br 2.89, 4 Rh 2.89
Br: 0.5000 0.5000 0.5000  4 Sb 2.89, 4 Rh 2.89

---

(5)
U2Hg2Br7 | PBE-GGA | optimized geometry

Computed properties:
ΔE_f (raw)	-10.93	eV/f.u.

Lattice parameters (Å, degrees): 8.9920 7.5915 7.5915 69.84 96.38 96.38
Last column: nearest neighbours and their distance in Å.
Element x y z (fractional)
U: 0.9669 0.7616 0.7616  6 Br 2.67-2.94
U: 0.0331 0.2384 0.2384  6 Br 2.67-2.94
Hg: 0.5000 0.1990 0.8010  1 Hg 3.46, 2 Br 3.84
Hg: 0.5000 0.8010 0.1990  1 Hg 3.46, 2 Br 3.84
Br: 0.0000 0.0000 0.0000  2 U 2.94
Br: 0.8053 0.0699 0.5001  2 U 2.89-2.91
Br: 0.8053 0.5001 0.0699  2 U 2.89-2.91
Br: 0.1947 0.4999 0.9301  2 U 2.89-2.91
Br: 0.1876 0.4377 0.4377  1 U 2.67
Br: 0.1947 0.9301 0.4999  2 U 2.89-2.91
Br: 0.8124 0.5623 0.5623  1 U 2.67

---

(6)
CuSnSb | PBE-GGA | optimized geometry

Computed properties:
ΔE_f (raw)	0.43	eV/f.u.

Lattice parameters (Å, degrees): 3.2246 3.2246 6.8922 103.53 103.53 90.00
Last column: nearest neighbours and their distance in Å.
Element x y z (fractional)
Sn: 0.6469 0.6469 0.2938  4 Cu 2.90, 4 Sn 3.22
Sb: 0.9182 0.9182 0.8365  4 Cu 2.87
Cu: 0.2848 0.2848 0.5697  4 Sb 2.87, 4 Sn 2.90

---

Calculated total moment, 0.5005, 0.1216, 0.1896, 0.0000, 0.4545, 0.0000 μB per atom (same order as the records).